Entry 1:
{
  "formula": "Li2TaH",
  "functional": "PBE-GGA",
  "state": "relaxed",
  "lattice": [[0.000, 2.983, 2.983], [2.983, 0.000, 2.983], [2.983, 2.983, 0.000]],
  "species": ["Li", "Li", "Ta", "H"],
  "fractional_positions": [[0.250, 0.250, 0.250], [0.750, 0.750, 0.750], [0.000, 0.000, 0.000], [0.500, 0.500, 0.500]],
  "vol_a3_per_atom": 13.27,
  "relative_energy_mev_per_atom": 802,
  "n_ef_per_ev_cell": 1.8,
  "sg": "Fm-3m (225)"
}

=====

Entry 2:
{
  "formula": "Ta2CdAs",
  "functional": "PBE-GGA",
  "state": "relaxed",
  "lattice": [[4.798, 0.000, 0.000], [0.000, 4.798, 0.000], [0.000, 0.000, 3.100]],
  "species": ["Ta", "Ta", "Cd", "As"],
  "fractional_positions": [[0.000, 0.500, 0.000], [0.500, 0.000, 0.000], [0.000, 0.000, 0.500], [0.500, 0.500, 0.500]],
  "vol_a3_per_atom": 17.85,
  "relative_energy_mev_per_atom": 308,
  "n_ef_per_ev_cell": 3.0,
  "formation_energy_ev_per_atom": 0.34,
  "sg": "P4/mmm (123)"
}

=====

Entry 3:
{
  "formula": "Dy2Ho6Er3Zr",
  "functional": "PBE-GGA",
  "state": "relaxed",
  "lattice": [[3.025, -5.229, 0.000], [3.025, 5.229, 0.000], [-1.998, 0.000, 11.386]],
  "species": ["Dy", "Dy", "Ho", "Ho", "Ho", "Ho", "Ho", "Ho", "Er", "Er", "Er", "Zr"],
  "fractional_positions": [[0.167, 0.833, 0.000], [0.833, 0.167, 0.000], [0.091, 0.418, 0.754], [0.255, 0.255, 0.245], [0.418, 0.091, 0.754], [0.582, 0.909, 0.246], [0.745, 0.745, 0.755], [0.909, 0.582, 0.246], [0.000, 0.000, 0.500], [0.333, 0.667, 0.500], [0.667, 0.333, 0.500], [0.500, 0.500, 0.000]],
  "vol_a3_per_atom": 30.01,
  "n_ef_per_ev_cell": 14.9,
  "formation_energy_ev_per_atom": 0.04,
  "sg": "C2/m (12)"
}

=====

Entry 4:
{
  "formula": "ZrTcI",
  "functional": "PBE-GGA",
  "state": "relaxed",
  "lattice": [[3.511, 0.000, 0.000], [1.755, 5.100, 0.000], [0.024, 2.797, 9.103]],
  "species": ["Zr", "Zr", "Tc", "Tc", "I", "I"],
  "fractional_positions": [[0.000, 0.000, 0.000], [0.298, 0.402, 0.119], [0.338, 0.326, 0.821], [0.685, 0.632, 0.876], [0.468, 0.070, 0.613], [0.644, 0.708, 0.282]],
  "vol_a3_per_atom": 27.17,
  "formation_energy_uncorrected_ev_per_atom": 0.021,
  "relative_energy_mev_per_atom": 439,
  "n_ef_per_ev_cell": 2.4,
  "sg": "P1 (1)"
}

=====

Entry 5:
{
  "formula": "K2RbUI6",
  "functional": "PBE-GGA",
  "state": "relaxed",
  "lattice": [[4.414, 2.548, 7.767], [-4.414, 2.548, 7.767], [0.000, -5.097, 7.767]],
  "species": ["K", "K", "Rb", "U", "I", "I", "I", "I", "I", "I"],
  "fractional_positions": [[0.000, 0.000, 0.000], [0.488, 0.488, 0.488], [0.199, 0.199, 0.199], [0.688, 0.688, 0.688], [0.044, 0.794, 0.446], [0.323, 0.605, 0.883], [0.446, 0.044, 0.794], [0.605, 0.883, 0.323], [0.794, 0.446, 0.044], [0.883, 0.323, 0.605]],
  "vol_a3_per_atom": 52.42,
  "formation_energy_uncorrected_ev_per_atom": -1.216,
  "sg": "R3 (146)"
}

=====

Entry 6:
{
  "formula": "HfFePt6",
  "functional": "PBE-GGA",
  "state": "relaxed",
  "lattice": [[5.633, 0.000, 0.000], [0.000, 5.633, 0.000], [0.000, 0.000, 3.969]],
  "species": ["Hf", "Fe", "Pt", "Pt", "Pt", "Pt", "Pt", "Pt"],
  "fractional_positions": [[0.000, 0.000, 0.000], [0.500, 0.500, 0.000], [0.000, 0.500, 0.000], [0.254, 0.254, 0.500], [0.254, 0.746, 0.500], [0.500, 0.000, 0.000], [0.746, 0.254, 0.500], [0.746, 0.746, 0.500]],
  "vol_a3_per_atom": 15.74,
  "n_ef_per_ev_cell": 5.6,
  "formation_energy_ev_per_atom": -0.66,
  "sg": "P4/mmm (123)"
}

=====

Entry 7:
{
  "formula": "CsTl6Zn",
  "functional": "PBE-GGA",
  "state": "relaxed",
  "lattice": [[5.321, 0.000, 0.000], [0.000, 5.321, 0.000], [0.000, 0.000, 9.690]],
  "species": ["Cs", "Tl", "Tl", "Tl", "Tl", "Tl", "Tl", "Zn"],
  "fractional_positions": [[0.000, 0.000, 0.000], [0.000, 0.500, 0.337], [0.000, 0.500, 0.663], [0.500, 0.000, 0.337], [0.500, 0.000, 0.663], [0.500, 0.500, 0.161], [0.500, 0.500, 0.839], [0.000, 0.000, 0.500]],
  "vol_a3_per_atom": 34.29,
  "n_ef_per_ev_cell": 2.8,
  "formation_energy_ev_per_atom": 0.01,
  "sg": "P4/mmm (123)"
}

=====

Entry 8:
{
  "formula": "LaCeLuSn",
  "functional": "PBE-GGA",
  "state": "relaxed",
  "lattice": [[0.000, 3.857, 3.857], [3.857, 0.000, 3.857], [3.857, 3.857, 0.000]],
  "species": ["La", "Ce", "Lu", "Sn"],
  "fractional_positions": [[0.000, 0.000, 0.000], [0.250, 0.250, 0.250], [0.500, 0.500, 0.500], [0.750, 0.750, 0.750]],
  "vol_a3_per_atom": 28.70,
  "n_ef_per_ev_cell": 7.2,
  "formation_energy_ev_per_atom": -0.17,
  "sg": "F-43m (216)"
}

=====

| no. | VASP energy (eV per atom) |
| --- | --- |
| 1 | -3.359 |
| 2 | -6.977 |
| 3 | -4.866 |
| 4 | -6.800 |
| 5 | -3.591 |
| 6 | -7.495 |
| 7 | -2.029 |
| 8 | -5.021 |